[1]
# Nd3In3Hg2Ru GGA-PBE relaxed
data_Nd3In3Hg2Ru
_cell_length_a 7.8412
_cell_length_b 7.8412
_cell_length_c 4.3052
_cell_angle_alpha 90.00
_cell_angle_beta 90.00
_cell_angle_gamma 120.00
_symmetry_space_group_name_H-M 'P -6 2 m'
_symmetry_Int_Tables_number 189
_symmetry_space_group_name_Hall 'P -6 -2'
loop_
_atom_site_label
_atom_site_fract_x
_atom_site_fract_y
_atom_site_fract_z
Nd1 0.0000 0.3887 0.0000
In1 0.0000 0.7606 0.5000
Hg1 0.3333 0.6667 0.5000
Ru1 0.0000 0.0000 0.0000
# - density (g/cm³) = 9.3
# - magnetic moment (μB/f.u.) = 0.00
# - calculated formation energy (eV/atom) = -0.4315

[2]
# ScRe2OsRu GGA-PBE relaxed
data_ScRe2OsRu
_cell_length_a 4.511
_cell_length_b 4.511
_cell_length_c 4.500
_cell_angle_alpha 90.00
_cell_angle_beta 90.00
_cell_angle_gamma 90.00
_symmetry_space_group_name_H-M 'P 4/m m m'
_symmetry_Int_Tables_number 123
_symmetry_space_group_name_Hall '-P 4 2'
loop_
_atom_site_label
_atom_site_fract_x
_atom_site_fract_y
_atom_site_fract_z
Sc1 0.000 0.000 0.000
Re1 0.000 0.500 0.000
Os1 0.000 0.000 0.500
Ru1 0.500 0.500 0.500
# - density (g/cm³) = 12.9
# - magnetic moment (μB/f.u.) = 0.78
# - calculated formation energy (eV/atom) = 2.5094

[3]
# Co3ReS GGA-PBE relaxed
data_Co3ReS
_cell_length_a 4.484
_cell_length_b 4.484
_cell_length_c 4.484
_cell_angle_alpha 90.00
_cell_angle_beta 90.00
_cell_angle_gamma 90.00
_symmetry_space_group_name_H-M 'P m -3 m'
_symmetry_Int_Tables_number 221
_symmetry_space_group_name_Hall '-P 4 2 3'
loop_
_atom_site_label
_atom_site_fract_x
_atom_site_fract_y
_atom_site_fract_z
Co1 0.000 0.000 0.500
Re1 0.000 0.000 0.000
S1 0.500 0.500 0.500
# - energy above the lowest structure with this stoichiometry (meV per atom) = 956
# - ΔE_f (raw) (meV per atom) = 1685
# - density (g/cm³) = 7.3
# - magnetic moment (μB/f.u.) = 2.98

[4]
# LiNiOs4 GGA-PBE relaxed
data_LiNiOs4
_cell_length_a 7.221
_cell_length_b 7.221
_cell_length_c 7.221
_cell_angle_alpha 90.00
_cell_angle_beta 90.00
_cell_angle_gamma 90.00
_symmetry_space_group_name_H-M 'F -4 3 m'
_symmetry_Int_Tables_number 216
_symmetry_space_group_name_Hall 'F -4 2 3'
loop_
_atom_site_label
_atom_site_fract_x
_atom_site_fract_y
_atom_site_fract_z
Li1 0.000 0.000 0.000
Ni1 0.250 0.250 0.750
Os1 0.125 0.125 0.375
# - density (g/cm³) = 14.6
# - magnetic moment (μB/f.u.) = 0.47
# - calculated formation energy (eV/atom) = 0.7488

[5]
# BaHoPtO4 GGA-PBE relaxed
data_BaHoPtO4
_cell_length_a 6.695
_cell_length_b 6.970
_cell_length_c 10.282
_cell_angle_alpha 90.00
_cell_angle_beta 90.00
_cell_angle_gamma 90.00
_symmetry_space_group_name_H-M 'I m m a'
_symmetry_Int_Tables_number 74
_symmetry_space_group_name_Hall '-I 2b 2'
loop_
_atom_site_label
_atom_site_fract_x
_atom_site_fract_y
_atom_site_fract_z
Ba1 0.000 0.250 0.144
Ho1 0.000 0.000 0.500
Pt1 0.250 0.250 0.750
O1 0.000 0.068 0.725
O2 0.210 0.250 0.497
# - ΔE_f (raw) (meV per atom) = -2016
# - density (g/cm³) = 7.8
# - magnetic moment (μB/f.u.) = 1.00

[6]
# Co2Pt GGA-PBE relaxed
data_Co2Pt
_cell_length_a 7.977
_cell_length_b 4.529
_cell_length_c 4.208
_cell_angle_alpha 90.00
_cell_angle_beta 90.00
_cell_angle_gamma 90.00
_symmetry_space_group_name_H-M 'C m c m'
_symmetry_Int_Tables_number 63
_symmetry_space_group_name_Hall '-C 2c 2'
loop_
_atom_site_label
_atom_site_fract_x
_atom_site_fract_y
_atom_site_fract_z
Co1 0.174 0.166 0.250
Pt1 0.000 0.317 0.750
# - density (g/cm³) = 13.7
# - magnetic moment (μB/f.u.) = 3.90
# - calculated formation energy (eV/atom) = -0.0774

> Look up the density of the sixth one.

13.7 g/cm³

> Look up the density of the third one.

7.3 g/cm³

> Which of these has the highest density?

LiNiOs4

> Which of these has the highest density?

LiNiOs4